A relaxed structure of CePr5Au6. Source: Alexandria via LeMat-Bulk, functional PBE.

Output
ΔH_f (0 K), meV per atom: -715

a b c (Å): 5.316 7.412 8.419
angles (deg): 90.00 108.86 90.00
Site moments in Bohr magnetons follow the coordinates.
Fractional coordinates of all 12 atoms:
Au 0.500 0.754 0.000  0.00
Au 0.836 0.751 0.669  0.00
Au 0.164 0.249 0.331  0.00
Au 0.836 0.249 0.669  0.00
Au 0.164 0.751 0.331  0.00
Au 0.500 0.246 0.000  0.00
Pr 0.666 0.500 0.334  0.01
Pr 0.334 0.000 0.667  0.01
Pr 0.334 0.500 0.666  0.01
Pr 0.666 0.000 0.333  0.01
Pr 0.000 0.500 0.000  0.04
Ce 0.000 0.000 0.000  0.86

A relaxed structure of SnHg3B. Source: Alexandria via LeMat-Bulk, functional PBE.

Output
ΔH_f (0 K), meV per atom: 615
ΔE to the lowest computed polymorph, eV/atom: 0.000

a b c (Å): 4.829 4.829 4.829
angles (deg): 90.00 90.00 90.00
Fractional coordinates of all 5 atoms:
Hg 0.000 0.000 0.500
Hg 0.500 0.000 0.000
Hg 0.000 0.500 0.000
B 0.000 0.000 0.000
Sn 0.500 0.500 0.500

A relaxed structure of Zn2GaCu. Source: Alexandria via LeMat-Bulk, functional PBE.

Output
ΔH_f (0 K), meV per atom: 21

a b c (Å): 2.843 2.843 8.734
angles (deg): 80.63 80.63 60.00
Fractional coordinates of all 4 atoms:
Zn 0.077 0.077 0.768
Zn 0.256 0.256 0.232
Cu 0.666 0.666 0.001
Ga 0.500 0.500 0.499

A relaxed structure of Hf3Mn2Cd. Source: Alexandria via LeMat-Bulk, functional PBE.

Output
ΔH_f (0 K), meV per atom: -128

a b c (Å): 3.184 3.184 10.541
angles (deg): 90.00 90.00 90.00
Fractional coordinates of all 6 atoms:
Cd 0.500 0.500 0.500
Hf 0.000 0.000 0.292
Hf 0.000 0.000 0.000
Hf 0.000 0.000 0.708
Mn 0.500 0.500 0.844
Mn 0.500 0.500 0.156

A relaxed structure of Tm6NiAg2. Source: Alexandria via LeMat-Bulk, functional PBE.

Output
ΔH_f (0 K), meV per atom: -174

a b c (Å): 6.640 7.214 9.867
angles (deg): 90.00 86.21 90.00
Fractional coordinates of all 18 atoms:
Tm 0.370 0.516 0.749
Tm 0.130 0.016 0.751
Tm 0.841 0.687 0.945
Tm 0.659 0.187 0.555
Tm 0.341 0.813 0.445
Tm 0.630 0.484 0.251
Tm 0.317 0.815 0.051
Tm 0.183 0.315 0.449
Tm 0.159 0.313 0.055
Tm 0.817 0.685 0.551
Tm 0.870 0.984 0.249
Tm 0.683 0.185 0.949
Ag 0.443 0.107 0.244
Ag 0.057 0.607 0.256
Ag 0.943 0.393 0.744
Ag 0.557 0.893 0.756
Ni 0.500 0.500 0.000
Ni 0.000 0.000 0.500

A relaxed structure of V2AsPd. Source: Alexandria via LeMat-Bulk, functional PBE.

Output
ΔH_f (0 K), meV per atom: -208

a b c (Å): 4.050 3.749 3.749
angles (deg): 90.00 90.00 90.00
Fractional coordinates of all 4 atoms:
V 0.000 0.500 0.000
V 0.000 0.000 0.500
As 0.500 0.500 0.500
Pd 0.500 0.000 0.000

A relaxed structure of In2Bi5Pd12. Source: Alexandria via LeMat-Bulk, functional PBE.

Output
ΔH_f (0 K), meV per atom: -179

a b c (Å): 7.559 7.839 7.987
angles (deg): 102.02 90.00 118.82
Fractional coordinates of all 19 atoms:
Pd 0.203 0.790 0.427
Pd 0.093 0.187 0.232
Pd 0.500 0.603 0.830
Pd 0.500 0.397 0.170
Pd 0.473 0.945 0.747
Pd 0.586 0.790 0.427
Pd 0.103 0.603 0.830
Pd 0.897 0.397 0.170
Pd 0.527 0.055 0.253
Pd 0.414 0.210 0.573
Pd 0.907 0.813 0.768
Pd 0.797 0.210 0.573
Bi 0.245 0.490 0.537
Bi 0.696 0.392 0.877
Bi 0.304 0.608 0.123
Bi 0.755 0.510 0.463
Bi 0.000 0.000 0.500
In 0.245 0.000 0.000
In 0.755 0.000 0.000

A relaxed structure of BaCa2Fe. Source: Alexandria via LeMat-Bulk, functional PBE.

Output
ΔH_f (0 K), meV per atom: 471
ΔE to the lowest computed polymorph, eV/atom: 0.086

a b c (Å): 7.180 7.180 7.180
angles (deg): 148.83 131.43 58.84
Site moments in Bohr magnetons follow the coordinates.
Fractional coordinates of all 4 atoms:
Ca 0.683 0.183 0.500  -0.07
Ca 0.000 0.000 0.000  -0.03
Fe 0.506 0.506 0.000  2.69
Ba 0.311 0.811 0.500  -0.09

no.,electronic total energy (eV/atom),total moment (Bohr magnetons per cell)
1,-4.8394,1.11
2,-1.7021,0.00
3,-2.3968,0.00
4,-8.3134,0.00
5,-4.4305,0.00
6,-7.2276,0.00
7,-4.7684,0.00
8,-3.1263,2.21